Computed, not measured: a PBEsol-optimized structure of Ca3Ti2Si4O14 at the SCAN level of DFT.

Cell and atoms, written as extended XYZ:
```
46
Lattice="-7.344 1.483 1.630 -5.986 -2.472 -6.686 -5.255 -7.954 1.593" Properties=species:S:1:pos:R:3 pbc="T T T"
Ti -11.350 -5.390 0.836
O -8.617 -2.905 0.067
Ca -13.818 -7.530 -0.025
O -9.070 -3.222 -5.263
O -12.768 -7.091 -4.530
O -4.421 -0.810 -0.967
O -6.701 -4.357 -0.894
O -4.887 -6.245 0.780
Ca -4.923 -4.048 0.818
Si -10.940 -5.854 -2.169
O -11.438 -0.733 -4.064
O -14.164 -8.133 -2.496
O -10.224 -1.257 -1.301
Ti -5.620 -5.213 -2.546
O -9.514 -5.721 1.800
Ca -4.766 -1.413 -3.437
O -13.697 -2.698 -4.243
Si -12.676 -8.034 -3.234
O -15.745 -6.165 -3.228
O -12.959 -5.515 -0.186
O -5.625 -3.428 -3.277
Si -2.987 -1.113 -0.141
Ca -10.602 -2.873 -3.551
O -7.330 -5.611 -3.736
O -6.866 -1.610 -1.406
O -6.549 0.579 -0.115
O -5.816 -1.852 1.068
Ca -13.661 -4.895 -4.281
O -12.036 -9.522 -3.347
Si -7.644 -3.089 -1.293
Ti -7.234 -3.553 -4.298
O -11.255 -3.332 0.273
Si -5.908 -0.909 -0.228
O -11.719 -7.333 -2.057
O -2.839 -2.778 -0.234
O -10.088 -5.684 -0.816
O -11.883 -4.586 -2.568
O -9.968 -6.038 -3.529
O -8.496 -3.259 -2.646
Si -8.462 -6.740 -3.455
Ti 0.000 0.000 0.000
O -8.360 -7.686 -2.161
Si -10.123 -2.203 -0.007
Si -15.598 -7.830 -3.322
Ca -7.983 -6.070 0.088
O -7.147 -8.210 0.601
```

Results
The calculation puts the total magnetic moment at 4.00 Bohr magnetons per cell. The calculation puts the calculated total energy at -524.19 eV per cell. The volume is 11.79 Å³/atom.